The following is a DFT calculation (SCAN) of a crystal of Zr3SiTc relaxed with PBEsol. Values from VASP.

Summary:
Raw total energy, eV per atom: -26.84

Geometry as Quantum ESPRESSO input:
```
&SYSTEM
  ibrav = 0, nat = 5, ntyp = 3
/
ATOMIC_SPECIES
Zr 91.22 Zr.upf
Si 28.09 Si.upf
Tc 98.00 Tc.upf
CELL_PARAMETERS angstrom
4.804 0.000 0.000
0.000 4.804 0.000
0.000 0.000 4.804
ATOMIC_POSITIONS angstrom
Zr 0.000 0.000 2.402
Zr 0.000 2.402 0.000
Zr 2.402 0.000 0.000
Si 0.000 0.000 0.000
Tc 2.402 2.402 2.402
```

The following is a DFT calculation (SCAN) of a crystal of Zr2Si2Tc relaxed with PBEsol. Values from VASP.

Summary:
Raw total energy, eV per atom: -24.18

Geometry as Quantum ESPRESSO input:
```
&SYSTEM
  ibrav = 0, nat = 10, ntyp = 3
/
ATOMIC_SPECIES
Zr 91.22 Zr.upf
Si 28.09 Si.upf
Tc 98.00 Tc.upf
CELL_PARAMETERS angstrom
6.499 0.000 0.000
0.000 6.499 0.000
0.000 0.000 3.880
ATOMIC_POSITIONS angstrom
Zr 1.123 2.127 0.000
Zr 2.127 5.377 0.000
Zr 4.373 1.123 0.000
Zr 5.377 4.373 0.000
Si 0.854 4.104 1.940
Si 2.396 0.854 1.940
Si 4.104 5.646 1.940
Si 5.646 2.396 1.940
Tc 0.000 0.000 1.940
Tc 3.250 3.250 1.940
```

The following is a DFT calculation (SCAN) of a crystal of Zr2SiTc relaxed with PBEsol. Values from VASP.

Summary:
Raw total energy, eV per atom: -26.91

Geometry as Quantum ESPRESSO input:
```
&SYSTEM
  ibrav = 0, nat = 4, ntyp = 3
/
ATOMIC_SPECIES
Zr 91.22 Zr.upf
Si 28.09 Si.upf
Tc 98.00 Tc.upf
CELL_PARAMETERS angstrom
0.000 3.212 3.212
3.212 0.000 3.212
3.212 3.212 0.000
ATOMIC_POSITIONS angstrom
Zr 0.000 0.000 0.000
Zr 1.606 1.606 1.606
Si 4.818 4.818 4.818
Tc 3.212 3.212 3.212
```

The following is a DFT calculation (SCAN) of a crystal of Si3Te2 relaxed with PBEsol. Values from VASP.

Summary:
Raw total energy, eV per atom: -20.63

Geometry as Quantum ESPRESSO input:
```
&SYSTEM
  ibrav = 0, nat = 5, ntyp = 2
/
ATOMIC_SPECIES
Si 28.09 Si.upf
Te 127.60 Te.upf
CELL_PARAMETERS angstrom
1.939 1.119 8.213
-1.939 1.119 8.213
0.000 -2.238 8.213
ATOMIC_POSITIONS angstrom
Si 0.000 0.000 0.000
Si 0.000 0.000 4.544
Si 0.000 0.000 20.094
Te 0.000 0.000 9.834
Te 0.000 0.000 14.804
```

The following is a DFT calculation (SCAN) of a crystal of TiSiTe3 relaxed with PBEsol. Values from VASP.

Summary:
Raw total energy, eV per atom: -27.15

Geometry as Quantum ESPRESSO input:
```
&SYSTEM
  ibrav = 0, nat = 5, ntyp = 3
/
ATOMIC_SPECIES
Ti 47.87 Ti.upf
Si 28.09 Si.upf
Te 127.60 Te.upf
CELL_PARAMETERS angstrom
5.221 0.000 0.000
0.000 5.221 0.000
0.000 0.000 5.221
ATOMIC_POSITIONS angstrom
Ti 0.000 0.000 0.000
Si 2.611 2.611 2.611
Te 0.000 0.000 2.611
Te 0.000 2.611 0.000
Te 2.611 0.000 0.000
```

The following is a DFT calculation (SCAN) of a crystal of TiSiTe2 relaxed with PBEsol. Values from VASP.

Summary:
Raw total energy, eV per atom: -24.99

Geometry as Quantum ESPRESSO input:
```
&SYSTEM
  ibrav = 0, nat = 8, ntyp = 3
/
ATOMIC_SPECIES
Ti 47.87 Ti.upf
Si 28.09 Si.upf
Te 127.60 Te.upf
CELL_PARAMETERS angstrom
-3.131 3.131 6.257
3.131 -3.131 6.257
3.131 3.131 -6.257
ATOMIC_POSITIONS angstrom
Ti 0.000 0.000 0.000
Ti 0.000 3.131 3.129
Si 3.131 0.000 3.129
Si 0.000 0.000 6.257
Te 4.697 1.529 -1.564
Te 1.529 1.566 1.564
Te -1.566 1.603 4.693
Te 1.603 1.566 7.822
```

The following is a DFT calculation (SCAN) of a crystal of TlSi2Te relaxed with PBEsol. Values from VASP.

Summary:
ΔE to the lowest computed polymorph, eV/atom: 0.0000

Geometry as Quantum ESPRESSO input:
```
&SYSTEM
  ibrav = 0, nat = 4, ntyp = 3
/
ATOMIC_SPECIES
Tl 204.38 Tl.upf
Si 28.09 Si.upf
Te 127.60 Te.upf
CELL_PARAMETERS angstrom
3.260 0.000 0.000
0.000 3.260 0.000
0.000 0.000 9.340
ATOMIC_POSITIONS angstrom
Tl 0.000 0.000 0.000
Si 0.000 0.000 2.874
Si 1.630 1.630 3.663
Te 1.630 1.630 6.250
```

The following is a DFT calculation (SCAN) of a crystal of TlSiTe2 relaxed with PBEsol. Values from VASP.

Summary:
Raw total energy, eV per atom: -38.67

Geometry as Quantum ESPRESSO input:
```
&SYSTEM
  ibrav = 0, nat = 4, ntyp = 3
/
ATOMIC_SPECIES
Tl 204.38 Tl.upf
Si 28.09 Si.upf
Te 127.60 Te.upf
CELL_PARAMETERS angstrom
0.000 3.698 3.698
3.698 0.000 3.698
3.698 3.698 0.000
ATOMIC_POSITIONS angstrom
Tl 0.000 0.000 0.000
Si 5.547 5.547 5.547
Te 1.849 1.849 1.849
Te 3.698 3.698 3.698
```